PBE+U KGdMo2O8, relaxed; energy = -7.913 eV per atom; symmetry = Pbcn, No. 60
1.0
-0.6233 -4.9472 -1.4020
5.7766 -2.2393 5.3335
-13.1331 -2.1237 13.3326
O Gd Mo K
32 4 8 4
direct
0.7697 0.6646 0.5974
0.7303 0.6646 0.0974
0.7402 0.3161 0.0930
0.2402 0.6839 0.4070
0.2502 0.5029 0.0362
0.6021 0.0161 0.1879
0.2598 0.1839 0.0930
0.8979 0.5161 0.3121
0.7303 0.1646 0.9026
0.3979 0.4839 0.1879
0.2303 0.3354 0.4026
0.2697 0.3354 0.9026
0.7498 0.9971 0.0362
0.7498 0.4971 0.9638
0.7502 0.4971 0.4638
0.7697 0.1646 0.4026
0.7598 0.8161 0.4070
0.2502 0.0029 0.9638
0.2598 0.6839 0.9070
0.2697 0.8354 0.0974
0.2498 0.0029 0.4638
0.8979 0.0161 0.6879
0.7598 0.3161 0.5930
0.2402 0.1839 0.5930
0.2303 0.8354 0.5974
0.2498 0.5029 0.5362
0.1021 0.4839 0.6879
0.1021 0.9839 0.3121
0.6021 0.5161 0.8121
0.7502 0.9971 0.5362
0.3979 0.9839 0.8121
0.7402 0.8161 0.9070
0.5000 0.7500 0.5044
0.5000 0.2500 0.4956
0.0000 0.7500 0.0044
0.0000 0.2500 0.9956
0.5216 0.4892 0.1012
0.0216 0.5108 0.3988
0.9784 0.9892 0.3988
0.5216 0.9892 0.8988
0.0216 0.0108 0.6012
0.4784 0.5108 0.8988
0.9784 0.4892 0.6012
0.4784 0.0108 0.1012
0.5000 0.2500 0.7259
0.0000 0.7500 0.7741
0.5000 0.7500 0.2741
0.0000 0.2500 0.2259